Computed, not measured: crystalline Ho4Mg3Cd at its relaxed geometry at the PBE level of DFT.

Cell: 3.385 5.061 12.571 Å, 90.00 90.00 90.00°
Space group Pmm2 (No. 25)
Asymmetric unit:
Ho (0.000, 0.000, 0.000)
Ho (0.000, 0.500, 0.339)
Ho (0.500, 0.000, 0.495)
Ho (0.500, 0.500, 0.844)
Mg (0.000, 0.000, 0.734)
Mg (0.000, 0.500, 0.603)
Mg (0.500, 0.500, 0.106)
Cd (0.500, 0.000, 0.236)

Results
calculated formation energy = -0.67 eV per formula unit
DOS at the Fermi energy = 7.76 states/eV per cell
energy above the most stable polymorph in this dataset = 50 meV/atom
crystal system = orthorhombic